The following is a GGA-PBE calculation of a relaxed PrSmHo2Te6 crystal, from Alexandria.

Structure (POSCAR):
```
PrSmHo2Te6
1.0
3.9070 2.2557 7.0570
-3.9070 2.2557 7.0570
0.0000 -4.5115 7.0570
Pr Sm Ho Te
1 1 2 6
direct
0.0000 0.0000 0.0000
0.4976 0.4976 0.4976
0.3084 0.3084 0.3084
0.8100 0.8100 0.8100
0.0812 0.6965 0.4223
0.2051 0.5803 0.9136
0.4223 0.0812 0.6965
0.5803 0.9136 0.2051
0.6965 0.4223 0.0812
0.9136 0.2051 0.5803
```

Computed properties:
DFT total energy, eV per atom: -5.12
Mass density, Mg/m³: 6.17
Formation energy (no corrections), meV/atom: -1365